No. 1
{"formula": "Mn2Sb2O7", "functional": "PBEsol", "state": "optimized geometry", "cell": [[-0.0857, 0.4885, 7.1655], [4.9718, -3.4230, 3.8927], [5.0979, 3.7419, 3.4058]], "species": ["Mn", "Mn", "Mn", "Mn", "Sb", "Sb", "Sb", "Sb", "O", "O", "O", "O", "O", "O", "O", "O", "O", "O", "O", "O", "O", "O"], "frac_coords": [[0.1250, 0.6250, 0.1250], [0.6250, 0.1250, 0.1250], [0.1250, 0.1250, 0.1250], [0.1250, 0.1250, 0.6250], [0.6250, 0.6250, 0.6250], [0.6250, 0.6250, 0.1250], [0.6250, 0.1250, 0.6250], [0.1250, 0.6250, 0.6250], [0.2500, 0.2500, 0.2500], [0.0000, 0.0000, 0.0000], [0.2948, 0.2948, 0.7052], [0.7052, 0.7052, 0.2948], [0.2948, 0.7052, 0.2948], [0.7052, 0.2948, 0.7052], [0.2948, 0.7052, 0.7052], [0.7052, 0.2948, 0.2948], [0.9552, 0.9552, 0.5448], [0.5448, 0.5448, 0.9552], [0.9552, 0.5448, 0.9552], [0.5448, 0.9552, 0.5448], [0.9552, 0.5448, 0.5448], [0.5448, 0.9552, 0.9552]], "final_energy_ev_per_fu": -79.91, "sg": "Fd-3m", "magnetic_moment_mub_per_cell": 19.882, "volume_a3_per_cell": 262}

No. 2
{"formula": "MnSbO4", "functional": "PBEsol", "state": "optimized geometry", "cell": [[2.9823, 0.0000, 0.0000], [0.0000, 4.9288, -0.1752], [0.0000, -2.4242, 5.1653]], "species": ["Sb", "Mn", "O", "O", "O", "O"], "frac_coords": [[0.0000, 0.5000, 0.0000], [0.5000, 0.5000, 0.5000], [0.0000, 0.3262, 0.2614], [0.0000, 0.6738, 0.7386], [0.5000, 0.2387, 0.7787], [0.5000, 0.7613, 0.2213]], "final_energy_ev_per_fu": -43.55, "sg": "P2/m", "magnetic_moment_mub_per_cell": 4.000, "volume_a3_per_cell": 75}

No. 3
{"formula": "MnSb2O6", "functional": "PBEsol", "state": "optimized geometry", "cell": [[4.6940, 0.0000, 0.0000], [0.0000, 8.8546, 0.0000], [0.0000, -4.4273, 7.6683]], "species": ["Mn", "Mn", "Mn", "Sb", "Sb", "Sb", "Sb", "Sb", "Sb", "O", "O", "O", "O", "O", "O", "O", "O", "O", "O", "O", "O", "O", "O", "O", "O", "O", "O"], "frac_coords": [[0.5000, 0.6336, 0.6336], [0.5000, 0.3664, 0.0000], [0.5000, 0.0000, 0.3664], [0.5000, 0.0000, 0.0000], [0.0072, 0.6667, 0.3333], [0.9928, 0.3333, 0.6667], [0.0000, 0.3049, 0.3049], [0.0000, 0.0000, 0.6951], [0.0000, 0.6951, 0.0000], [0.7768, 0.4447, 0.2219], [0.7768, 0.7772, 0.5553], [0.7768, 0.7781, 0.2228], [0.2232, 0.2228, 0.7781], [0.2232, 0.2219, 0.4447], [0.2232, 0.5553, 0.7772], [0.2345, 0.8848, 0.4699], [0.2345, 0.5851, 0.1152], [0.2345, 0.5301, 0.4149], [0.7655, 0.4149, 0.5301], [0.7655, 0.1152, 0.5851], [0.7655, 0.4699, 0.8848], [0.7350, 0.7838, 0.8846], [0.7350, 0.1008, 0.2162], [0.7350, 0.1154, 0.8992], [0.2650, 0.8992, 0.1154], [0.2650, 0.2162, 0.1008], [0.2650, 0.8846, 0.7838]], "final_energy_ev_per_fu": -63.22, "sg": "P321", "magnetic_moment_mub_per_cell": 14.888, "volume_a3_per_cell": 319}

No. 4
{"formula": "Mn3SbO", "functional": "PBEsol", "state": "optimized geometry", "cell": [[3.9237, 0.0000, 0.0000], [0.0000, 3.9237, 0.0000], [0.0000, 0.0000, 3.9237]], "species": ["Sb", "Mn", "Mn", "Mn", "O"], "frac_coords": [[0.5000, 0.5000, 0.5000], [0.0000, 0.5000, 0.0000], [0.0000, 0.0000, 0.5000], [0.5000, 0.0000, 0.0000], [0.0000, 0.0000, 0.0000]], "final_energy_ev_per_fu": -40.01, "sg": "Pm-3m", "magnetic_moment_mub_per_cell": 6.318, "volume_a3_per_cell": 60}